(1)
This record from Alexandria via LeMat-Bulk describes crystalline AcMgAgPd at its relaxed geometry. The functional is PBE.

Cell: 4.7103 4.7055 5.8395 Å, 113.69 90.00 120.03°
Fractional coordinates of all 4 atoms:
1 Ac 0.6189 0.2377 0.4992
2 Mg 0.1099 0.2197 0.9716
3 Ag 0.8275 0.6550 0.1250
4 Pd 0.4101 0.8202 0.8716

Output
DFT total energy = -3.955 eV per atom
DFT formation energy = -0.518 eV per atom
offset from the most stable computed form = 0 meV/atom

=====

(2)
This record from Alexandria via LeMat-Bulk describes crystalline Sr2CaBiO at its relaxed geometry. The functional is PBE.

Cell: 5.3491 5.3491 4.7553 Å, 90.00 90.00 90.00°
Fractional coordinates of all 5 atoms:
1 Sr 0.0000 0.5000 0.0000
2 Sr 0.5000 0.0000 0.0000
3 Ca 0.0000 0.0000 0.5000
4 Bi 0.5000 0.5000 0.5000
5 O 0.0000 0.0000 0.0000

Output
DFT total energy = -4.336 eV per atom
raw formation energy = -1495 meV per atom

=====

(3)
This record from Alexandria via LeMat-Bulk describes crystalline La4CoPb2 at its relaxed geometry. The functional is PBE.

Cell: 5.0718 5.0718 9.5773 Å, 74.65 74.65 90.00°
Fractional coordinates of all 7 atoms:
1 Pb 0.6407 0.6407 0.7186
2 Pb 0.3593 0.3593 0.2814
3 Co 0.0000 0.0000 0.0000
4 La 0.8262 0.8262 0.3476
5 La 0.1738 0.1738 0.6524
6 La 0.0000 0.5000 0.0000
7 La 0.5000 0.0000 0.0000

Output
DFT total energy = -5.337 eV per atom
DFT formation energy = -0.447 eV per atom
offset from the most stable computed form = 0 meV/atom

=====

(4)
This record from Alexandria via LeMat-Bulk describes crystalline AcCdCu2 at its relaxed geometry. The functional is PBE.

Cell: 3.8955 4.9016 4.9016 Å, 90.00 90.00 90.00°
Fractional coordinates of all 4 atoms:
1 Ac 0.5000 0.0000 0.0000
2 Cu 0.0000 0.0000 0.5000
3 Cu 0.0000 0.5000 0.0000
4 Cd 0.5000 0.5000 0.5000

Output
DFT total energy = -3.201 eV per atom
DFT formation energy = 0.103 eV per atom

=====

(5)
This record from Alexandria via LeMat-Bulk describes crystalline Tm3ScHg12 at its relaxed geometry. The functional is PBE.

Cell: 4.4561 4.4561 19.0272 Å, 90.00 90.00 90.00°
Fractional coordinates of all 16 atoms:
1 Tm 0.0000 0.0000 0.2466
2 Tm 0.0000 0.0000 0.5000
3 Tm 0.0000 0.0000 0.7534
4 Sc 0.0000 0.0000 0.0000
5 Hg 0.5000 0.5000 0.0000
6 Hg 0.5000 0.5000 0.2468
7 Hg 0.5000 0.5000 0.5000
8 Hg 0.5000 0.5000 0.7532
9 Hg 0.5000 0.0000 0.1211
10 Hg 0.5000 0.0000 0.3734
11 Hg 0.5000 0.0000 0.6266
12 Hg 0.5000 0.0000 0.8789
13 Hg 0.0000 0.5000 0.1211
14 Hg 0.0000 0.5000 0.3734
15 Hg 0.0000 0.5000 0.6266
16 Hg 0.0000 0.5000 0.8789

Output
DFT total energy = -1.724 eV per atom
DFT formation energy = -0.264 eV per atom

=====

(6)
This record from Alexandria via LeMat-Bulk describes crystalline Tm11Tl4In9 at its relaxed geometry. The functional is PBE.

Cell: 3.5485 13.7675 13.7675 Å, 111.15 90.00 90.00°
Fractional coordinates of all 24 atoms:
1 Tm 0.0000 0.5985 0.9545
2 Tm 0.0000 0.4015 0.0455
3 Tm 0.0000 0.9545 0.5985
4 Tm 0.0000 0.0455 0.4015
5 Tm 0.0000 0.6243 0.3757
6 Tm 0.0000 0.3757 0.6243
7 Tm 0.0000 0.8134 0.1866
8 Tm 0.0000 0.1866 0.8134
9 Tm 0.0000 0.0000 0.0000
10 Tm 0.0000 0.7748 0.7748
11 Tm 0.0000 0.2252 0.2252
12 Tl 0.5000 0.5772 0.7508
13 Tl 0.5000 0.4228 0.2492
14 Tl 0.5000 0.7508 0.5772
15 Tl 0.5000 0.2492 0.4228
16 In 0.5000 0.6096 0.1624
17 In 0.5000 0.3904 0.8376
18 In 0.5000 0.1624 0.6096
19 In 0.5000 0.8376 0.3904
20 In 0.5000 0.8019 0.9864
21 In 0.5000 0.1981 0.0136
22 In 0.5000 0.9864 0.8019
23 In 0.5000 0.0136 0.1981
24 In 0.5000 0.5000 0.5000

Output
DFT total energy = -3.818 eV per atom
DFT formation energy = -0.347 eV per atom

=====

(7)
This record from Alexandria via LeMat-Bulk describes crystalline IrRu2Rh at its relaxed geometry. The functional is PBE.

Cell: 4.7119 4.7119 4.7119 Å, 132.09 132.09 70.09°
Fractional coordinates of all 4 atoms:
1 Ru 0.0000 0.0000 0.0000
2 Ru 0.5000 0.5000 0.0000
3 Ir 0.2500 0.7500 0.5000
4 Rh 0.7500 0.2500 0.5000

Output
DFT total energy = -8.672 eV per atom
DFT formation energy = 0.019 eV per atom
offset from the most stable computed form = 13 meV/atom

=====

(8)
This record from Alexandria via LeMat-Bulk describes crystalline TeAsAu2 at its relaxed geometry. The functional is PBE.

Cell: 4.5818 4.5818 6.5881 Å, 65.20 65.20 55.22°
Fractional coordinates of all 4 atoms:
1 As 0.3347 0.3347 0.1958
2 Te 0.4344 0.4344 0.5250
3 Au 0.0056 0.0056 0.0091
4 Au 0.7254 0.7254 0.7700

Output
DFT total energy = -3.574 eV per atom
raw formation energy = 12 meV per atom
offset from the most stable computed form = 0 meV/atom

=====

(9)
This record from Alexandria via LeMat-Bulk describes crystalline Si2PdSe at its relaxed geometry. The functional is PBE.

Cell: 5.7996 5.7996 6.6434 Å, 64.12 64.12 90.00°
Fractional coordinates of all 8 atoms:
1 Si 0.6542 0.1250 0.2500
2 Si 0.0958 0.6250 0.2500
3 Si 0.3750 0.3458 0.7500
4 Si 0.8750 0.9042 0.7500
5 Se 0.5000 0.5000 0.0000
6 Se 0.2500 0.7500 0.5000
7 Pd 0.0000 0.0000 0.0000
8 Pd 0.7500 0.2500 0.5000

Output
DFT total energy = -4.894 eV per atom
raw formation energy = -13 meV per atom

=====

(10)
This record from Alexandria via LeMat-Bulk describes crystalline BaSiPd2Au at its relaxed geometry. The functional is PBE.

Cell: 4.8182 4.8182 4.9051 Å, 90.00 90.00 90.00°
Fractional coordinates of all 5 atoms:
1 Si 0.0000 0.0000 0.0000
2 Au 0.0000 0.0000 0.5000
3 Ba 0.5000 0.5000 0.5000
4 Pd 0.0000 0.5000 0.0000
5 Pd 0.5000 0.0000 0.0000

Output
DFT total energy = -4.704 eV per atom
raw formation energy = -502 meV per atom

=====

(11)
This record from Alexandria via LeMat-Bulk describes crystalline Y2TlSe at its relaxed geometry. The functional is PBE.

Cell: 6.4840 6.4840 6.4840 Å, 141.20 141.20 56.04°
Fractional coordinates of all 4 atoms:
1 Se 0.5000 0.5000 0.0000
2 Tl 0.7500 0.2500 0.5000
3 Y 0.0000 0.0000 0.0000
4 Y 0.2500 0.7500 0.5000

Output
DFT total energy = -5.390 eV per atom
raw formation energy = -696 meV per atom
offset from the most stable computed form = 381 meV/atom

=====

Q: What is the formula in the tenth record?
A: BaSiPd2Au

=====

Q: What is the DFT total energy in the fifth record?
A: -1.724 eV per atom

=====

Q: Which of these has the highest DFT total energy?
A: Tm3ScHg12

=====

Q: Among the records above, which one has the highest DFT total energy?
A: Tm3ScHg12